# 1
## SmUCd (PBE)

Data for a relaxed SmUCd crystal.

## Properties
The calculation puts the formation energy at 1.010 eV per atom. The raw total energy comes out at -0.33991 Ry per atom. The calculation puts the calculated volume at 90.4 Å³ per cell. The value obtained for the excess energy over the best structure of this formula in the dataset is 0.00 eV/f.u.

abc: 5.037 5.037 5.037
angles: 60.00 60.00 60.00
Fractional positions:
U 0.000 0.000 0.000
Sm 0.750 0.750 0.750
Cd 0.250 0.250 0.250



# 2
## SmYCd (PBE)

Data for a relaxed SmYCd crystal.

## Properties
The calculation puts the formation energy at 0.479 eV per atom. The raw total energy comes out at -0.26055 Ry per atom. The calculation puts the calculated volume at 92.9 Å³ per cell. The value obtained for the excess energy over the best structure of this formula in the dataset is 0.00 eV/f.u.

abc: 5.084 5.084 5.084
angles: 60.00 60.00 60.00
Fractional positions:
Cd 0.750 0.750 0.750
Sm 0.250 0.250 0.250
Y 0.500 0.500 0.500



# 3
## SmYCd4 (PBE)

Data for a relaxed SmYCd4 crystal.

## Properties
The calculation puts the formation energy at -0.345 eV per atom. The raw total energy comes out at -0.20613 Ry per atom. The calculation puts the calculated volume at 146.1 Å³ per cell.

abc: 3.409 4.972 8.618
angles: 90.00 90.00 90.00
Fractional positions:
Y 0.000 0.500 0.500
Cd 0.497 0.500 0.169
Cd 0.497 0.000 0.664
Cd 0.503 0.000 0.336
Cd 0.503 0.500 0.831
Sm 0.000 0.000 0.000



Question: The lowest raw total energy belongs to which entry?
Answer: SmUCd